Below is a crystal of KTl2Pb relaxed with PBEsol, with properties calculated at the SCAN level.

Unit cell a=3.620 b=4.411 c=7.814 alpha=90.00 beta=90.00 gamma=90.00
Sites, in units of the cell vectors:
K 0.000 0.000 0.000
Tl 0.500 0.500 0.285
Tl 0.500 0.500 0.715
Pb 0.000 0.000 0.500

## Properties
space group: Pmmm (47)
energy of formation from the pure elements: -0.186 eV per atom
M_tot: 0.00 Bohr magnetons per cell
crystal system: orthorhombic